# Pu6Ir2Pd | Alexandria | GGA-PBE | relaxed
data_Pu6Ir2Pd
_symmetry_space_group_name_H-M 'P 1'
_symmetry_Int_Tables_number 1
_cell_length_a 2.746
_cell_length_b 7.926
_cell_length_c 7.926
_cell_angle_alpha 120.00
_cell_angle_beta 90.00
_cell_angle_gamma 90.00
loop_
_symmetry_equiv_pos_as_xyz
'x,y,z'
loop_
_atom_site_label
_atom_site_type_symbol
_atom_site_fract_x
_atom_site_fract_y
_atom_site_fract_z
Pu1 Pu 0.071 0.659 0.659
Pu2 Pu 0.071 0.000 0.341
Pu3 Pu 0.071 0.341 0.000
Pu4 Pu 0.929 0.341 0.341
Pu5 Pu 0.929 0.000 0.659
Pu6 Pu 0.929 0.659 0.000
Ir1 Ir 0.500 0.667 0.333
Ir2 Ir 0.500 0.333 0.667
Pd1 Pd 0.500 0.000 0.000
# Crystal system: trigonal
# Energy (eV/atom): -12.01
# Energy relative to the elements (meV per atom): 87
# Density (g/cm³): 21.7

=====

# NbNi2W2 | Alexandria | GGA-PBE | relaxed
data_NbNi2W2
_symmetry_space_group_name_H-M 'P 1'
_symmetry_Int_Tables_number 1
_cell_length_a 7.459
_cell_length_b 7.459
_cell_length_c 2.660
_cell_angle_alpha 90.00
_cell_angle_beta 90.00
_cell_angle_gamma 90.00
loop_
_symmetry_equiv_pos_as_xyz
'x,y,z'
loop_
_atom_site_label
_atom_site_type_symbol
_atom_site_fract_x
_atom_site_fract_y
_atom_site_fract_z
Ni1 Ni 0.172 0.672 0.500
Ni2 Ni 0.672 0.828 0.500
Ni3 Ni 0.828 0.328 0.500
Ni4 Ni 0.328 0.172 0.500
Nb1 Nb 0.000 0.000 0.000
Nb2 Nb 0.500 0.500 0.000
W1 W 0.375 0.875 0.000
W2 W 0.875 0.625 0.000
W3 W 0.625 0.125 0.000
W4 W 0.125 0.375 0.000
# Crystal system: tetragonal
# Energy (eV/atom): -9.32
# Energy relative to the elements (meV per atom): 191
# Density (g/cm³): 13.0

=====

# Sr2MoPb | Alexandria | GGA-PBE | relaxed
data_Sr2MoPb
_symmetry_space_group_name_H-M 'P 1'
_symmetry_Int_Tables_number 1
_cell_length_a 8.986
_cell_length_b 8.986
_cell_length_c 7.085
_cell_angle_alpha 50.64
_cell_angle_beta 50.64
_cell_angle_gamma 90.00
loop_
_symmetry_equiv_pos_as_xyz
'x,y,z'
loop_
_atom_site_label
_atom_site_type_symbol
_atom_site_fract_x
_atom_site_fract_y
_atom_site_fract_z
Pb1 Pb 0.000 0.000 0.000
Pb2 Pb 0.750 0.250 0.500
Sr1 Sr 0.592 0.125 0.250
Sr2 Sr 0.158 0.625 0.250
Sr3 Sr 0.375 0.408 0.750
Sr4 Sr 0.875 0.842 0.750
Mo1 Mo 0.500 0.500 0.000
Mo2 Mo 0.250 0.750 0.500
# Crystal system: tetragonal
# Energy (eV/atom): -3.65
# Energy relative to the elements (meV per atom): 829
# Density (g/cm³): 6.3